(1)
A plane-wave DFT calculation with PBE-GGA was carried out for a relaxed FeOsC2Se crystal.

Cell and atoms, written as CIF:
```
data_FeOsC2Se
_cell_length_a 3.608
_cell_length_b 3.608
_cell_length_c 5.184
_cell_angle_alpha 90.00
_cell_angle_beta 90.00
_cell_angle_gamma 90.00
_symmetry_space_group_name_H-M 'P 4/m m m'
_symmetry_Int_Tables_number 123
_symmetry_space_group_name_Hall '-P 4 2'
loop_
_atom_site_label
_atom_site_fract_x
_atom_site_fract_y
_atom_site_fract_z
Fe1 0.000 0.000 0.000
Os1 0.500 0.500 0.500
C1 0.000 0.500 0.000
Se1 0.000 0.000 0.500
```

## Properties
The value obtained for the raw formation energy is 1808 meV per atom. Its crystal system is tetragonal. For the magnetic moment, the calculation gives 0.303 μB per formula unit. As for the mass density: 8588 kg/m³. Its energy is -6.517 eV/atom.

---

(2)
A plane-wave DFT calculation with PBE-GGA was carried out for a relaxed As2IrCl crystal.

Cell and atoms, written as CIF:
```
data_As2IrCl
_cell_length_a 6.724
_cell_length_b 3.883
_cell_length_c 7.500
_cell_angle_alpha 90.00
_cell_angle_beta 107.55
_cell_angle_gamma 90.00
_symmetry_space_group_name_H-M 'C 1 2/m 1'
_symmetry_Int_Tables_number 12
loop_
_symmetry_equiv_pos_as_xyz
'x,y,z'
'-x,-y,-z'
'-x,y,-z'
'x,-y,z'
'x+1/2,y+1/2,z'
'-x+1/2,-y+1/2,-z'
'-x+1/2,y+1/2,-z'
'x+1/2,-y+1/2,z'
loop_
_atom_site_label
_atom_site_fract_x
_atom_site_fract_y
_atom_site_fract_z
As1 0.114 0.000 0.346
Ir1 0.000 0.500 0.500
Cl1 0.000 0.000 0.000
```

## Properties
The value obtained for the raw formation energy is -246 meV per atom. Its crystal system is monoclinic. For the magnetic moment, the calculation gives 0.000 μB per formula unit. The energy relative to the lowest polymorph listed for this composition comes out at 0.0000 eV per atom. As for the mass density: 6715 kg/m³. Its energy is -5.248 eV/atom.

---

(3)
A plane-wave DFT calculation with PBE-GGA was carried out for a relaxed KLi2Si crystal.

Cell and atoms, written as CIF:
```
data_KLi2Si
_cell_length_a 3.043
_cell_length_b 4.463
_cell_length_c 16.236
_cell_angle_alpha 90.00
_cell_angle_beta 90.00
_cell_angle_gamma 90.00
_symmetry_space_group_name_H-M 'I m m 2'
_symmetry_Int_Tables_number 44
loop_
_symmetry_equiv_pos_as_xyz
'x,y,z'
'-x,-y,z'
'-x,y,z'
'x,-y,z'
'x+1/2,y+1/2,z+1/2'
'-x+1/2,-y+1/2,z+1/2'
'-x+1/2,y+1/2,z+1/2'
'x+1/2,-y+1/2,z+1/2'
loop_
_atom_site_label
_atom_site_fract_x
_atom_site_fract_y
_atom_site_fract_z
K1 0.000 0.000 0.000
Li1 0.000 0.000 0.686
Li2 0.000 0.500 0.814
Si1 0.000 0.500 0.317
```

## Properties
The value obtained for the raw formation energy is 136 meV per atom. Its crystal system is orthorhombic. For the magnetic moment, the calculation gives 0.000 μB per formula unit. As for the mass density: 1221 kg/m³. Its energy is -2.451 eV/atom.

---

(4)
A plane-wave DFT calculation with PBE-GGA was carried out for a relaxed LiIn crystal.

Cell and atoms, written as CIF:
```
data_LiIn
_cell_length_a 4.8279
_cell_length_b 4.8279
_cell_length_c 5.4159
_cell_angle_alpha 90.00
_cell_angle_beta 90.00
_cell_angle_gamma 120.00
_symmetry_space_group_name_H-M 'P 63/m m c'
_symmetry_Int_Tables_number 194
_symmetry_space_group_name_Hall '-P 6c 2c'
loop_
_atom_site_label
_atom_site_fract_x
_atom_site_fract_y
_atom_site_fract_z
Li1 0.3333 0.6667 0.2500
In1 0.3333 0.6667 0.7500
```

## Properties
For the formation energy, the calculation gives 0.1910 eV/atom. Its crystal system is hexagonal. For the magnetic moment, the calculation gives 0.000 μB per formula unit. As for the mass density: 3699 kg/m³. Its energy is -2.135 eV/atom.

---

(5)
A plane-wave DFT calculation with PBE-GGA was carried out for a relaxed Be2TlAg crystal.

Cell and atoms, written as CIF:
```
data_Be2TlAg
_cell_length_a 4.389
_cell_length_b 3.330
_cell_length_c 4.740
_cell_angle_alpha 90.00
_cell_angle_beta 111.79
_cell_angle_gamma 90.00
_symmetry_space_group_name_H-M 'P 1 2/m 1'
_symmetry_Int_Tables_number 10
loop_
_symmetry_equiv_pos_as_xyz
'x,y,z'
'-x,-y,-z'
'-x,y,-z'
'x,-y,z'
loop_
_atom_site_label
_atom_site_fract_x
_atom_site_fract_y
_atom_site_fract_z
Be1 0.000 0.000 0.000
Be2 0.000 0.500 0.500
Tl1 0.500 0.000 0.500
Ag1 0.500 0.500 0.000
```

## Properties
For the formation energy, the calculation gives 0.6232 eV/atom. Its crystal system is monoclinic. For the magnetic moment, the calculation gives 0.000 μB per formula unit. The energy relative to the lowest polymorph listed for this composition comes out at 0.2318 eV per atom. As for the mass density: 8525 kg/m³. Its energy is -2.544 eV/atom.

---

(6)
A plane-wave DFT calculation with PBE-GGA was carried out for a relaxed Pm2PuPaSb4 crystal.

Cell and atoms, written as CIF:
```
data_Pm2PuPaSb4
_cell_length_a 7.680
_cell_length_b 4.442
_cell_length_c 7.712
_cell_angle_alpha 90.00
_cell_angle_beta 109.40
_cell_angle_gamma 90.00
_symmetry_space_group_name_H-M 'P 1 2/m 1'
_symmetry_Int_Tables_number 10
loop_
_symmetry_equiv_pos_as_xyz
'x,y,z'
'-x,-y,-z'
'-x,y,-z'
'x,-y,z'
loop_
_atom_site_label
_atom_site_fract_x
_atom_site_fract_y
_atom_site_fract_z
Pm1 0.000 0.000 0.000
Pm2 0.500 0.500 0.000
Pu1 0.000 0.500 0.500
Pa1 0.500 0.000 0.500
Sb1 0.251 0.000 0.743
Sb2 0.255 0.500 0.257
```

## Properties
The value obtained for the raw formation energy is -870 meV per atom. Its crystal system is monoclinic. For the magnetic moment, the calculation gives 6.155 μB per formula unit. As for the mass density: 8379 kg/m³. Its energy is -7.097 eV/atom.

---

(7)
A plane-wave DFT calculation with PBE-GGA was carried out for a relaxed TmMg3Sn6 crystal.

Cell and atoms, written as CIF:
```
data_TmMg3Sn6
_cell_length_a 10.097
_cell_length_b 4.487
_cell_length_c 11.042
_cell_angle_alpha 90.00
_cell_angle_beta 93.60
_cell_angle_gamma 90.00
_symmetry_space_group_name_H-M 'P 1 21/m 1'
_symmetry_Int_Tables_number 11
loop_
_symmetry_equiv_pos_as_xyz
'x,y,z'
'-x,-y,-z'
'-x,y+1/2,-z'
'x,-y+1/2,z'
loop_
_atom_site_label
_atom_site_fract_x
_atom_site_fract_y
_atom_site_fract_z
Tm1 0.057 0.250 0.380
Mg1 0.253 0.250 0.001
Mg2 0.352 0.750 0.801
Mg3 0.449 0.250 0.597
Sn1 0.065 0.750 0.902
Sn2 0.156 0.750 0.194
Sn3 0.166 0.250 0.690
Sn4 0.252 0.750 0.504
Sn5 0.364 0.250 0.306
Sn6 0.451 0.750 0.098
```

## Properties
For the formation energy, the calculation gives -0.1871 eV/atom. Its crystal system is monoclinic. For the magnetic moment, the calculation gives 0.000 μB per formula unit. As for the mass density: 6346 kg/m³. Its energy is -3.514 eV/atom.

---

(8)
A plane-wave DFT calculation with PBE-GGA was carried out for a relaxed YSc2IO8 crystal.

Cell and atoms, written as CIF:
```
data_YSc2IO8
_cell_length_a 6.851
_cell_length_b 6.860
_cell_length_c 6.612
_cell_angle_alpha 90.00
_cell_angle_beta 90.00
_cell_angle_gamma 90.00
_symmetry_space_group_name_H-M 'C m m m'
_symmetry_Int_Tables_number 65
_symmetry_space_group_name_Hall '-C 2 2'
loop_
_atom_site_label
_atom_site_fract_x
_atom_site_fract_y
_atom_site_fract_z
Y1 0.000 0.000 0.000
Sc1 0.000 0.500 0.242
I1 0.000 0.000 0.500
O1 0.000 0.278 0.500
O2 0.000 0.318 0.000
O3 0.190 0.000 0.288
```

## Properties
The value obtained for the raw formation energy is -2298 meV per atom. Its crystal system is orthorhombic. For the magnetic moment, the calculation gives 0.000 μB per formula unit. As for the mass density: 4635 kg/m³. Its energy is -7.326 eV/atom.

---

(9)
A plane-wave DFT calculation with PBE-GGA was carried out for a relaxed TbAg2BiTe4 crystal.

Cell and atoms, written as CIF:
```
data_TbAg2BiTe4
_cell_length_a 7.465
_cell_length_b 4.431
_cell_length_c 7.674
_cell_angle_alpha 90.00
_cell_angle_beta 109.97
_cell_angle_gamma 90.00
_symmetry_space_group_name_H-M 'P 1 2/m 1'
_symmetry_Int_Tables_number 10
loop_
_symmetry_equiv_pos_as_xyz
'x,y,z'
'-x,-y,-z'
'-x,y,-z'
'x,-y,z'
loop_
_atom_site_label
_atom_site_fract_x
_atom_site_fract_y
_atom_site_fract_z
Tb1 0.000 0.000 0.000
Ag1 0.500 0.000 0.500
Ag2 0.500 0.500 0.000
Bi1 0.000 0.500 0.500
Te1 0.258 0.500 0.249
Te2 0.265 0.000 0.757
```

## Properties
The value obtained for the raw formation energy is -486 meV per atom. Its crystal system is monoclinic. For the magnetic moment, the calculation gives 0.000 μB per formula unit. As for the mass density: 7614 kg/m³. Its energy is -3.833 eV/atom.

---

(10)
A plane-wave DFT calculation with PBE-GGA was carried out for a relaxed Pr2VSn crystal.

Cell and atoms, written as CIF:
```
data_Pr2VSn
_cell_length_a 3.3923
_cell_length_b 3.3923
_cell_length_c 34.1146
_cell_angle_alpha 90.00
_cell_angle_beta 90.00
_cell_angle_gamma 120.00
_symmetry_space_group_name_H-M 'R -3 m'
_symmetry_Int_Tables_number 166
_symmetry_space_group_name_Hall '-R 3 2"'
loop_
_atom_site_label
_atom_site_fract_x
_atom_site_fract_y
_atom_site_fract_z
Pr1 0.0000 0.0000 0.0854
V1 0.0000 0.0000 0.0000
Sn1 0.0000 0.0000 0.5000
```

## Properties
For the formation energy, the calculation gives 0.4291 eV/atom. Its crystal system is trigonal. For the magnetic moment, the calculation gives 3.115 μB per formula unit. As for the mass density: 6615 kg/m³. Its energy is -5.241 eV/atom.

---

(11)
A plane-wave DFT calculation with PBE-GGA was carried out for a relaxed HgTePt2 crystal.

Cell and atoms, written as CIF:
```
data_HgTePt2
_cell_length_a 6.828
_cell_length_b 3.985
_cell_length_c 7.238
_cell_angle_alpha 90.00
_cell_angle_beta 93.21
_cell_angle_gamma 90.00
_symmetry_space_group_name_H-M 'C 1 m 1'
_symmetry_Int_Tables_number 8
loop_
_symmetry_equiv_pos_as_xyz
'x,y,z'
'x,-y,z'
'x+1/2,y+1/2,z'
'x+1/2,-y+1/2,z'
loop_
_atom_site_label
_atom_site_fract_x
_atom_site_fract_y
_atom_site_fract_z
Hg1 0.000 0.000 0.000
Te1 0.032 0.000 0.589
Pt1 0.180 0.500 0.222
Pt2 0.358 0.000 0.415
```

## Properties
The value obtained for the raw formation energy is -38 meV per atom. Its crystal system is monoclinic. For the magnetic moment, the calculation gives 0.000 μB per formula unit. The energy relative to the lowest polymorph listed for this composition comes out at 0.0105 eV per atom. As for the mass density: 12133 kg/m³. Its energy is -3.919 eV/atom.

---

(12)
A plane-wave DFT calculation with PBE-GGA was carried out for a relaxed CaSb2P crystal.

Cell and atoms, written as CIF:
```
data_CaSb2P
_cell_length_a 3.491
_cell_length_b 3.491
_cell_length_c 8.534
_cell_angle_alpha 90.00
_cell_angle_beta 90.00
_cell_angle_gamma 90.00
_symmetry_space_group_name_H-M 'P 4 m m'
_symmetry_Int_Tables_number 99
loop_
_symmetry_equiv_pos_as_xyz
'x,y,z'
'-y,x,z'
'-x,-y,z'
'y,-x,z'
'-x,y,z'
'y,x,z'
'x,-y,z'
'-y,-x,z'
loop_
_atom_site_label
_atom_site_fract_x
_atom_site_fract_y
_atom_site_fract_z
Ca1 0.000 0.000 0.000
Sb1 0.000 0.000 0.385
Sb2 0.500 0.500 0.736
P1 0.500 0.500 0.235
```

## Properties
The value obtained for the raw formation energy is -227 meV per atom. Its crystal system is tetragonal. For the magnetic moment, the calculation gives 0.000 μB per formula unit. As for the mass density: 5022 kg/m³. Its energy is -4.141 eV/atom.

---

> What is the energy in the fifth record?

-2.544 eV/atom